First-principles (PBE-GGA) data for an optimized crystal structure of Rb3SmAg2I9, as listed in Alexandria.

D(E_F)	6.28	states/eV per cell
M_tot	0.0000	μB per atom
formation energy from raw total energies	-0.99	eV per atom
E_tot	-0.206	Ry per atom
ρ	4.5	g cm⁻³

Cell: 8.472 8.472 10.572 Å, 90.00 90.00 120.00°
Sites, in units of the cell vectors:
Rb (0.000, 0.000, 0.000)
Rb (0.333, 0.667, 0.695)
Rb (0.667, 0.333, 0.305)
Sm (0.000, 0.000, 0.500)
Ag (0.333, 0.667, 0.152)
Ag (0.667, 0.333, 0.848)
I (0.000, 0.500, 0.000)
I (0.170, 0.339, 0.331)
I (0.170, 0.830, 0.331)
I (0.339, 0.170, 0.669)
I (0.500, 0.000, 0.000)
I (0.500, 0.500, 0.000)
I (0.661, 0.830, 0.331)
I (0.830, 0.170, 0.669)
I (0.830, 0.661, 0.669)


First-principles (PBE-GGA) data for an optimized crystal structure of Rb2SmAgI6, as listed in Alexandria.

D(E_F)	0.00	states/eV per cell
M_tot	0.0000	μB per atom
formation energy from raw total energies	-1.20	eV per atom
E_tot	-0.227	Ry per atom
ρ	4.5	g cm⁻³

Cell: 8.421 8.778 14.486 Å, 90.00 125.49 90.00°
Sites, in units of the cell vectors:
Rb (0.225, 0.075, 0.249)
Rb (0.225, 0.425, 0.749)
Rb (0.775, 0.575, 0.251)
Rb (0.775, 0.925, 0.751)
Sm (0.500, 0.000, 0.000)
Sm (0.500, 0.500, 0.500)
Ag (0.000, 0.000, 0.500)
Ag (0.000, 0.500, 0.000)
I (0.157, 0.198, 0.955)
I (0.157, 0.302, 0.455)
I (0.263, 0.705, 0.958)
I (0.263, 0.795, 0.458)
I (0.333, 0.013, 0.744)
I (0.333, 0.487, 0.244)
I (0.667, 0.513, 0.756)
I (0.667, 0.987, 0.256)
I (0.737, 0.205, 0.542)
I (0.737, 0.295, 0.042)
I (0.843, 0.698, 0.545)
I (0.843, 0.802, 0.045)


First-principles (PBE-GGA) data for an optimized crystal structure of RbSmAgI5, as listed in Alexandria.

D(E_F)	0.00	states/eV per cell
M_tot	0.0000	μB per atom
formation energy from raw total energies	-1.13	eV per atom
E_tot	-0.233	Ry per atom
ρ	4.3	g cm⁻³

Cell: 8.588 8.588 11.643 Å, 102.95 102.95 107.15°
Sites, in units of the cell vectors:
Rb (0.143, 0.857, 0.750)
Rb (0.857, 0.143, 0.250)
Sm (0.500, 0.500, 0.000)
Sm (0.500, 0.500, 0.500)
Ag (0.190, 0.810, 0.250)
Ag (0.810, 0.190, 0.750)
I (0.124, 0.260, 0.942)
I (0.181, 0.583, 0.394)
I (0.260, 0.124, 0.442)
I (0.417, 0.819, 0.106)
I (0.419, 0.581, 0.750)
I (0.581, 0.419, 0.250)
I (0.583, 0.181, 0.894)
I (0.740, 0.876, 0.558)
I (0.819, 0.417, 0.606)
I (0.876, 0.740, 0.058)


First-principles (PBE-GGA) data for an optimized crystal structure of Rb2Ag2SnI6, as listed in Alexandria.

D(E_F)	0.00	states/eV per cell
M_tot	0.0000	μB per atom
formation energy from raw total energies	-0.74	eV per atom
E_tot	-0.194	Ry per atom
ρ	4.2	g cm⁻³

Cell: 8.787 8.787 8.679 Å, 116.20 116.20 59.84°
Sites, in units of the cell vectors:
Rb (0.241, 0.241, 0.203)
Rb (0.759, 0.759, 0.797)
Ag (0.447, 0.447, 0.798)
Ag (0.553, 0.553, 0.202)
Sn (0.000, 0.000, 0.500)
I (0.184, 0.694, 0.187)
I (0.235, 0.235, 0.621)
I (0.306, 0.816, 0.813)
I (0.694, 0.184, 0.187)
I (0.765, 0.765, 0.379)
I (0.816, 0.306, 0.813)


First-principles (PBE-GGA) data for an optimized crystal structure of Rb2AgSnI6, as listed in Alexandria.

D(E_F)	1.96	states/eV per cell
M_tot	0.0000	μB per atom
formation energy from raw total energies	-0.79	eV per atom
E_tot	-0.191	Ry per atom
ρ	4.5	g cm⁻³

Cell: 8.494 8.494 8.494 Å, 120.14 120.14 89.75°
Sites, in units of the cell vectors:
Rb (0.250, 0.750, 0.500)
Rb (0.750, 0.250, 0.500)
Ag (0.000, 0.000, 0.000)
Sn (0.500, 0.500, 0.000)
I (0.248, 0.248, 0.000)
I (0.248, 0.248, 0.495)
I (0.248, 0.752, 0.000)
I (0.752, 0.248, 0.000)
I (0.752, 0.752, 0.000)
I (0.752, 0.752, 0.505)


First-principles (PBE-GGA) data for an optimized crystal structure of Rb3Ag2SnI6, as listed in Alexandria.

D(E_F)	3.90	states/eV per cell
M_tot	0.0000	μB per atom
formation energy from raw total energies	-0.71	eV per atom
E_tot	-0.187	Ry per atom
ρ	3.4	g cm⁻³

Cell: 9.211 9.211 8.988 Å, 90.00 90.00 120.00°
Sites, in units of the cell vectors:
Rb (0.000, 0.000, 0.000)
Rb (0.333, 0.667, 0.607)
Rb (0.667, 0.333, 0.393)
Ag (0.333, 0.667, 0.202)
Ag (0.667, 0.333, 0.798)
Sn (0.000, 0.000, 0.500)
I (0.164, 0.328, 0.289)
I (0.164, 0.836, 0.289)
I (0.328, 0.164, 0.711)
I (0.672, 0.836, 0.289)
I (0.836, 0.164, 0.711)
I (0.836, 0.672, 0.711)